# DyVF5 GGA+U optimized geometry
# * energy: -6.55 eV/atom
# * volume: 439.80 Å³/cell
# * crystal system: monoclinic
data_DyVF5
_cell_length_a 9.2225
_cell_length_b 6.7935
_cell_length_c 7.6930
_cell_angle_alpha 90.00
_cell_angle_beta 114.15
_cell_angle_gamma 90.00
_space_group_name_H-M_alt 'C 1 2/c 1'
_space_group_IT_number 15
loop_
_space_group_symop_operation_xyz
'x,y,z'
'-x,-y,-z'
'-x,y,-z+1/2'
'x,-y,z+1/2'
'x+1/2,y+1/2,z'
'-x+1/2,-y+1/2,-z'
'-x+1/2,y+1/2,-z+1/2'
'x+1/2,-y+1/2,z+1/2'
loop_
_atom_site_label
_atom_site_fract_x
_atom_site_fract_y
_atom_site_fract_z
Dy1 0.0000 0.0490 0.2500
V1 0.0000 0.5000 0.0000
F1 0.0000 0.3798 0.2500
F2 0.0080 0.1843 0.9637
F3 0.2463 0.4740 0.6283